Material: Pu3GaGe
Method: DFT, PBE
State: relaxed

Computed properties:
Crystal system = orthorhombic
DOS at the Fermi energy = 84.5 states/eV per cell
Space group = No. 58
ΔH_f (0 K) = -0.165 eV per atom
Energy above the lowest structure with this stoichiometry = 0 meV/atom
Size of the total moment = 20.8 μB per cell

a b c (Å): 8.418 9.103 6.140
angles (deg): 90.00 90.00 90.00
Site moments in Bohr magnetons follow the coordinates.
Atoms (fractional coordinates):
Pu (0.607, 0.133, 0.248)  -5.35
Pu (0.107, 0.367, 0.748)  -5.35
Pu (0.500, 0.500, 0.247)  5.56
Pu (0.000, 0.000, 0.253)  5.56
Pu (0.500, 0.500, 0.753)  5.56
Pu (0.393, 0.867, 0.752)  -5.35
Pu (0.393, 0.867, 0.248)  -5.35
Pu (0.607, 0.133, 0.752)  -5.35
Pu (0.893, 0.633, 0.252)  -5.35
Pu (0.000, 0.000, 0.747)  5.56
Pu (0.893, 0.633, 0.748)  -5.35
Pu (0.107, 0.367, 0.252)  -5.35
Ga (0.205, 0.646, 0.500)  0.02
Ga (0.295, 0.146, 0.000)  0.02
Ga (0.795, 0.354, 0.500)  0.02
Ga (0.705, 0.854, 0.000)  0.02
Ge (0.296, 0.144, 0.500)  0.04
Ge (0.704, 0.856, 0.500)  0.04
Ge (0.796, 0.356, 0.000)  0.04
Ge (0.204, 0.644, 0.000)  0.04